First-principles (PBE-GGA) data for a geometry-optimized Re2SiAg4 structure, as listed in Alexandria.

Geometry as POSCAR:
```
Re2SiAg4
1.0
4.971 0.000 0.000
0.000 4.971 0.000
0.000 0.000 12.694
Re Si Ag
4 2 8
Cartesian
0.000 0.000 1.135
0.000 0.000 11.559
2.486 2.486 5.212
2.486 2.486 7.483
0.000 0.000 6.347
2.486 2.486 0.000
0.000 0.000 3.891
0.000 0.000 8.804
0.000 2.486 0.000
0.000 2.486 6.347
2.486 0.000 0.000
2.486 0.000 6.347
2.486 2.486 2.457
2.486 2.486 10.238
```

## Properties
For the calculated volume, the calculation gives 313.7 Å³ per cell. The calculation puts the total energy at -0.3341 Ry per atom. The formation energy from raw total energies is 1.41 eV/atom. The calculation puts the mass density at 8.8 Mg/m³. As for the space group: No. 139.

***

First-principles (PBE-GGA) data for a geometry-optimized ReSi2Ag structure, as listed in Alexandria.

Geometry as POSCAR:
```
ReSi2Ag
1.0
2.788 0.000 0.000
0.000 2.788 0.000
0.000 0.000 7.916
Re Si Ag
1 2 1
Cartesian
0.000 0.000 0.000
0.000 0.000 3.593
1.394 1.394 1.635
1.394 1.394 5.717
```

## Properties
For the calculated volume, the calculation gives 61.5 Å³ per cell. The calculation puts the total energy at -0.4440 Ry per atom. The formation energy from raw total energies is 0.50 eV/atom. The calculation puts the mass density at 9.5 Mg/m³. As for the space group: No. 99.

***

First-principles (PBE-GGA) data for a geometry-optimized ZnReSi2Ag structure, as listed in Alexandria.

Geometry as POSCAR:
```
ZnReSi2Ag
1.0
4.597 0.000 0.000
0.000 4.597 0.000
0.000 0.000 5.356
Zn Re Si Ag
1 1 2 1
Cartesian
0.000 0.000 0.000
2.298 2.298 2.678
0.000 2.298 2.678
2.298 0.000 2.678
2.298 2.298 0.000
```

## Properties
For the calculated volume, the calculation gives 113.2 Å³ per cell. The calculation puts the total energy at -0.3492 Ry per atom. The formation energy from raw total energies is 0.73 eV/atom. The calculation puts the mass density at 6.1 Mg/m³. As for the space group: No. 123.

***

First-principles (PBE-GGA) data for a geometry-optimized SmThReAg structure, as listed in Alexandria.

Geometry as POSCAR:
```
SmThReAg
1.0
7.233 0.000 0.000
0.000 7.233 0.000
0.000 0.000 7.233
Sm Th Re Ag
4 4 4 4
Cartesian
0.000 0.000 0.000
0.000 3.617 3.617
3.617 0.000 3.617
3.617 3.617 0.000
0.000 0.000 3.617
0.000 3.617 0.000
3.617 0.000 0.000
3.617 3.617 3.617
1.808 1.808 5.425
1.808 5.425 1.808
5.425 1.808 1.808
5.425 5.425 5.425
1.808 1.808 1.808
1.808 5.425 5.425
5.425 1.808 5.425
5.425 5.425 1.808
```

## Properties
For the calculated volume, the calculation gives 378.4 Å³ per cell. The calculation puts the total energy at -0.5012 Ry per atom. As for the formation enthalpy at 0 K: 40 meV per atom. The calculation puts the mass density at 11.9 Mg/m³. As for the space group: No. 216.

***

First-principles (PBE-GGA) data for a geometry-optimized Re2AgSn structure, as listed in Alexandria.

Geometry as POSCAR:
```
Re2AgSn
1.0
7.561 0.000 0.000
0.000 7.561 0.000
0.000 0.000 5.295
Re Ag Sn
8 4 4
Cartesian
1.831 1.890 0.662
1.890 5.612 1.986
1.890 5.730 4.633
1.950 1.890 3.309
5.612 5.671 3.309
5.671 1.831 4.633
5.671 1.950 1.986
5.730 5.671 0.662
0.000 0.000 2.647
0.000 3.781 3.971
3.781 0.000 1.324
3.781 3.781 0.000
0.000 0.000 0.000
0.000 3.781 1.324
3.781 0.000 3.971
3.781 3.781 2.647
```

## Properties
For the calculated volume, the calculation gives 302.7 Å³ per cell. The calculation puts the total energy at -0.4909 Ry per atom. As for the formation enthalpy at 0 K: 1259 meV per atom. The calculation puts the mass density at 13.1 Mg/m³. As for the space group: No. 122.

***

First-principles (PBE-GGA) data for a geometry-optimized ReAgSn3 structure, as listed in Alexandria.

Geometry as POSCAR:
```
ReAgSn3
1.0
5.239 0.000 0.000
0.000 5.239 0.000
0.000 0.000 5.239
Re Ag Sn
1 1 3
Cartesian
0.000 0.000 0.000
2.619 2.619 2.619
0.000 2.619 2.619
2.619 0.000 2.619
2.619 2.619 0.000
```

## Properties
For the calculated volume, the calculation gives 143.8 Å³ per cell. The calculation puts the total energy at -0.2949 Ry per atom. As for the formation enthalpy at 0 K: 1449 meV per atom. The calculation puts the mass density at 7.5 Mg/m³. As for the space group: No. 221.

***

First-principles (PBE-GGA) data for a geometry-optimized ReAg3Sn structure, as listed in Alexandria.

Geometry as POSCAR:
```
ReAg3Sn
1.0
5.093 0.000 0.000
0.000 5.093 0.000
0.000 0.000 5.093
Re Ag Sn
1 3 1
Cartesian
0.000 0.000 0.000
0.000 0.000 2.546
0.000 2.546 0.000
2.546 0.000 0.000
2.546 2.546 2.546
```

## Properties
For the calculated volume, the calculation gives 132.1 Å³ per cell. The calculation puts the total energy at -0.2598 Ry per atom. As for the formation enthalpy at 0 K: 1467 meV per atom. The calculation puts the mass density at 7.9 Mg/m³. As for the space group: No. 221.

***

First-principles (PBE-GGA) data for a geometry-optimized ReAgSn3 structure, as listed in Alexandria.

Geometry as POSCAR:
```
ReAgSn3
1.0
5.199 0.000 0.000
0.000 5.199 0.000
0.000 0.000 5.199
Re Ag Sn
1 1 3
Cartesian
0.000 0.000 0.000
2.599 2.599 2.599
0.000 0.000 2.599
0.000 2.599 0.000
2.599 0.000 0.000
```

## Properties
For the calculated volume, the calculation gives 140.5 Å³ per cell. The calculation puts the total energy at -0.3702 Ry per atom. As for the formation enthalpy at 0 K: 424 meV per atom. The calculation puts the mass density at 7.7 Mg/m³. As for the space group: No. 221.

***

First-principles (PBE-GGA) data for a geometry-optimized Re3AgSn structure, as listed in Alexandria.

Geometry as POSCAR:
```
Re3AgSn
1.0
4.806 0.000 0.000
0.000 4.806 0.000
0.000 0.000 4.806
Re Ag Sn
3 1 1
Cartesian
0.000 0.000 2.403
0.000 2.403 0.000
2.403 0.000 0.000
0.000 0.000 0.000
2.403 2.403 2.403
```

## Properties
For the calculated volume, the calculation gives 111.0 Å³ per cell. The calculation puts the total energy at -0.4423 Ry per atom. As for the formation enthalpy at 0 K: 2822 meV per atom. The calculation puts the mass density at 11.7 Mg/m³. As for the space group: No. 221.

***

First-principles (PBE-GGA) data for a geometry-optimized ReTc2AgSn structure, as listed in Alexandria.

Geometry as POSCAR:
```
ReTc2AgSn
1.0
4.737 0.000 0.000
0.000 4.737 0.000
0.000 0.000 5.114
Re Tc Ag Sn
1 2 1 1
Cartesian
0.000 0.000 0.000
0.000 2.369 0.000
2.369 0.000 0.000
2.369 2.369 2.557
0.000 0.000 2.557
```

## Properties
For the calculated volume, the calculation gives 114.8 Å³ per cell. The calculation puts the total energy at -0.4836 Ry per atom. As for the formation enthalpy at 0 K: 1427 meV per atom. The calculation puts the mass density at 8.8 Mg/m³. As for the space group: No. 123.

***

First-principles (PBE-GGA) data for a geometry-optimized YReAg2Sn structure, as listed in Alexandria.

Geometry as POSCAR:
```
YReAg2Sn
1.0
5.096 0.000 0.000
0.000 5.096 0.000
0.000 0.000 5.016
Y Re Ag Sn
1 1 2 1
Cartesian
0.000 0.000 0.000
2.548 2.548 2.508
0.000 2.548 2.508
2.548 0.000 2.508
2.548 2.548 0.000
```

## Properties
For the calculated volume, the calculation gives 130.2 Å³ per cell. The calculation puts the total energy at -0.3695 Ry per atom. As for the formation enthalpy at 0 K: 696 meV per atom. The calculation puts the mass density at 7.8 Mg/m³. As for the space group: No. 123.

***

First-principles (PBE-GGA) data for a geometry-optimized SrReAg structure, as listed in Alexandria.

Geometry as POSCAR:
```
SrReAg
1.0
7.095 0.000 0.000
0.000 7.095 0.000
0.000 0.000 7.095
Sr Re Ag
4 4 4
Cartesian
0.000 0.000 0.000
0.000 3.548 3.548
3.548 0.000 3.548
3.548 3.548 0.000
1.774 1.774 1.774
1.774 5.321 5.321
5.321 1.774 5.321
5.321 5.321 1.774
1.774 1.774 5.321
1.774 5.321 1.774
5.321 1.774 1.774
5.321 5.321 5.321
```

## Properties
For the calculated volume, the calculation gives 357.2 Å³ per cell. The calculation puts the total energy at -0.2793 Ry per atom. As for the formation enthalpy at 0 K: 1860 meV per atom. The calculation puts the mass density at 7.1 Mg/m³. As for the space group: No. 216.